# 1
Below is La2Tb6Sm after structural relaxation, with properties calculated at the GGA-PBE level.

Values from the calculation:
For the excess energy over the best structure of this formula in the dataset, the calculation gives 0.0 kJ/mol of atoms. The formation energy is 62 meV per atom.

Unit cell a=3.5176 b=12.1589 c=12.1589 alpha=48.11 beta=54.67 gamma=54.67
Element x y z (fractional)
Tb: 0.8370 0.9998 0.3317
Tb: 0.1630 0.6683 0.0002
Tb: 0.1630 0.0002 0.6683
Tb: 0.8370 0.3317 0.9998
Tb: 0.5000 0.6684 0.3316
Tb: 0.5000 0.3316 0.6684
La: 0.3337 0.6666 0.6666
La: 0.6663 0.3334 0.3334
Sm: 0.0000 0.0000 0.0000

---

# 2
Below is K2HgMo after structural relaxation, with properties calculated at the GGA-PBE level.

Values from the calculation:
The formation energy is 984 meV per atom.

Unit cell a=12.4139 b=12.4139 c=12.4139 alpha=14.56 beta=14.56 gamma=14.56
Element x y z (fractional)
Mo: 0.2500 0.2500 0.2500
K: 0.5021 0.5021 0.5021
K: 0.9979 0.9979 0.9979
Hg: 0.7500 0.7500 0.7500

---

# 3
Below is SrPm2S4 after structural relaxation, with properties calculated at the GGA-PBE level.

Values from the calculation:
For the excess energy over the best structure of this formula in the dataset, the calculation gives 0.0 kJ/mol of atoms. Its energy relative to the elements, uncorrected is -14.7 eV/f.u.

Unit cell a=4.1478 b=11.7013 c=14.7183 alpha=90.00 beta=90.00 gamma=90.00
Element x y z (fractional)
S: 0.2500 0.7248 0.6894
S: 0.7500 0.0657 0.0865
S: 0.2500 0.6510 0.9882
S: 0.7500 0.7752 0.1894
S: 0.7500 0.0046 0.7171
S: 0.7500 0.3490 0.0118
S: 0.2500 0.9343 0.9135
S: 0.2500 0.4954 0.2171
S: 0.7500 0.2752 0.3106
S: 0.7500 0.5657 0.4135
S: 0.2500 0.9954 0.2829
S: 0.7500 0.5046 0.7829
S: 0.2500 0.4343 0.5865
S: 0.2500 0.1510 0.5118
S: 0.2500 0.2248 0.8106
S: 0.7500 0.8490 0.4882
Pm: 0.7500 0.0635 0.3917
Pm: 0.2500 0.9365 0.6083
Pm: 0.2500 0.8981 0.1010
Pm: 0.2500 0.3981 0.3990
Pm: 0.7500 0.5635 0.1083
Pm: 0.2500 0.4365 0.8917
Pm: 0.7500 0.6019 0.6010
Pm: 0.7500 0.1019 0.8990
Sr: 0.7500 0.7611 0.8409
Sr: 0.2500 0.2389 0.1591
Sr: 0.7500 0.2611 0.6591
Sr: 0.2500 0.7389 0.3409